# Be2CuPt | the Alexandria database | GGA-PBEsol | relaxed
# energy relative to the elements = -0.48 eV/atom
# crystal system = cubic
# polymorph energy (0 for the lowest one) = 0.0 meV/atom
# total moment = 0.000 μB/cell
data_Be2CuPt
_chemical_formula_sum 'Be8 Cu4 Pt4'
_space_group_name_H-M_alt 'F m -3 m'
_space_group_IT_number 225
_space_group_name_Hall '-F 4 2 3'
_cell_length_a 5.513
_cell_length_b 5.513
_cell_length_c 5.513
_cell_angle_alpha 90.00
_cell_angle_beta 90.00
_cell_angle_gamma 90.00
loop_
_atom_site_label
_atom_site_type_symbol
_atom_site_fract_x
_atom_site_fract_y
_atom_site_fract_z
Be1 Be 0.250 0.250 0.250
Cu1 Cu 0.000 0.000 0.000
Pt1 Pt 0.000 0.000 0.500

***

# Be2CuPt | the Alexandria database | GGA-PBEsol | relaxed
# energy relative to the elements = -0.43 eV/atom
# crystal system = tetragonal
# polymorph energy (0 for the lowest one) = 48.3 meV/atom
# total moment = 0.000 μB/cell
data_Be2CuPt
_chemical_formula_sum 'Be2 Cu1 Pt1'
_space_group_name_H-M_alt 'P 4/m m m'
_space_group_IT_number 123
_space_group_name_Hall '-P 4 2'
_cell_length_a 2.756
_cell_length_b 2.756
_cell_length_c 5.490
_cell_angle_alpha 90.00
_cell_angle_beta 90.00
_cell_angle_gamma 90.00
loop_
_atom_site_label
_atom_site_type_symbol
_atom_site_fract_x
_atom_site_fract_y
_atom_site_fract_z
Be1 Be 0.000 0.000 0.238
Cu1 Cu 0.500 0.500 0.000
Pt1 Pt 0.500 0.500 0.500

***

# Be2CuPt | the Alexandria database | GGA-PBEsol | relaxed
# energy relative to the elements = -0.41 eV/atom
# crystal system = monoclinic
# polymorph energy (0 for the lowest one) = 68.3 meV/atom
# total moment = 0.000 μB/cell
data_Be2CuPt
_chemical_formula_sum 'Be4 Cu2 Pt2'
_space_group_name_H-M_alt 'C 1 m 1'
_space_group_IT_number 8
_space_group_name_Hall 'C -2y'
_cell_length_a 8.413
_cell_length_b 2.689
_cell_length_c 3.945
_cell_angle_alpha 90.00
_cell_angle_beta 108.33
_cell_angle_gamma 90.00
loop_
_atom_site_label
_atom_site_type_symbol
_atom_site_fract_x
_atom_site_fract_y
_atom_site_fract_z
Be1 Be 0.000 0.000 0.000
Be2 Be 0.236 0.500 0.340
Cu1 Cu 0.254 0.000 0.853
Pt1 Pt 0.479 0.000 0.485

***

# BeCu2Pt | the Alexandria database | GGA-PBEsol | relaxed
# energy relative to the elements = -0.23 eV/atom
# crystal system = monoclinic
# total moment = 0.000 μB/cell
data_BeCu2Pt
_chemical_formula_sum 'Be2 Cu4 Pt2'
_space_group_name_H-M_alt 'C 1 m 1'
_space_group_IT_number 8
_space_group_name_Hall 'C -2y'
_cell_length_a 8.477
_cell_length_b 2.734
_cell_length_c 4.287
_cell_angle_alpha 90.00
_cell_angle_beta 111.35
_cell_angle_gamma 90.00
loop_
_atom_site_label
_atom_site_type_symbol
_atom_site_fract_x
_atom_site_fract_y
_atom_site_fract_z
Be1 Be 0.000 0.000 0.000
Cu1 Cu 0.220 0.500 0.334
Cu2 Cu 0.480 0.000 0.515
Pt1 Pt 0.263 0.000 0.867

***

# BeCu2Pt | the Alexandria database | GGA-PBEsol | relaxed
# energy relative to the elements = -0.11 eV/atom
# crystal system = orthorhombic
# total moment = 0.000 μB/cell
data_BeCu2Pt
_chemical_formula_sum 'Be2 Cu4 Pt2'
_space_group_name_H-M_alt 'C m m m'
_space_group_IT_number 65
_space_group_name_Hall '-C 2 2'
_cell_length_a 4.862
_cell_length_b 7.232
_cell_length_c 2.711
_cell_angle_alpha 90.00
_cell_angle_beta 90.00
_cell_angle_gamma 90.00
loop_
_atom_site_label
_atom_site_type_symbol
_atom_site_fract_x
_atom_site_fract_y
_atom_site_fract_z
Be1 Be 0.000 0.000 0.000
Cu1 Cu 0.250 0.250 0.500
Pt1 Pt 0.000 0.500 0.000

***

# BeCu2Pt | the Alexandria database | GGA-PBEsol | relaxed
# energy relative to the elements = -0.29 eV/atom
# crystal system = tetragonal
# total moment = 0.000 μB/cell
data_BeCu2Pt
_chemical_formula_sum 'Be1 Cu2 Pt1'
_space_group_name_H-M_alt 'P 4 m m'
_space_group_IT_number 99
_space_group_name_Hall 'P 4 -2'
_cell_length_a 2.740
_cell_length_b 2.740
_cell_length_c 6.048
_cell_angle_alpha 90.00
_cell_angle_beta 90.00
_cell_angle_gamma 90.00
loop_
_atom_site_label
_atom_site_type_symbol
_atom_site_fract_x
_atom_site_fract_y
_atom_site_fract_z
Be1 Be 0.000 0.000 0.000
Cu1 Cu 0.000 0.000 0.477
Cu2 Cu 0.500 0.500 0.224
Pt1 Pt 0.500 0.500 0.779

***

# Be4CuPt | the Alexandria database | GGA-PBEsol | relaxed
# energy relative to the elements = -0.41 eV/atom
# crystal system = cubic
# total moment = 0.000 μB/cell
data_Be4CuPt
_chemical_formula_sum 'Be16 Cu4 Pt4'
_space_group_name_H-M_alt 'F -4 3 m'
_space_group_IT_number 216
_space_group_name_Hall 'F -4 2 3'
_cell_length_a 6.063
_cell_length_b 6.063
_cell_length_c 6.063
_cell_angle_alpha 90.00
_cell_angle_beta 90.00
_cell_angle_gamma 90.00
loop_
_atom_site_label
_atom_site_type_symbol
_atom_site_fract_x
_atom_site_fract_y
_atom_site_fract_z
Be1 Be 0.124 0.124 0.124
Cu1 Cu 0.250 0.250 0.750
Pt1 Pt 0.000 0.000 0.500

***

# BeCu2Re | the Alexandria database | GGA-PBEsol | relaxed
# energy relative to the elements = 0.26 eV/atom
# crystal system = orthorhombic
# total moment = 0.000 μB/cell
data_BeCu2Re
_chemical_formula_sum 'Be1 Cu2 Re1'
_space_group_name_H-M_alt 'P m m m'
_space_group_IT_number 47
_space_group_name_Hall '-P 2 2'
_cell_length_a 2.544
_cell_length_b 3.723
_cell_length_c 4.937
_cell_angle_alpha 90.00
_cell_angle_beta 90.00
_cell_angle_gamma 90.00
loop_
_atom_site_label
_atom_site_type_symbol
_atom_site_fract_x
_atom_site_fract_y
_atom_site_fract_z
Be1 Be 0.000 0.000 0.000
Cu1 Cu 0.500 0.500 0.240
Re1 Re 0.000 0.000 0.500

***

# BeCuRe2 | the Alexandria database | GGA-PBEsol | relaxed
# energy relative to the elements = 0.28 eV/atom
# crystal system = orthorhombic
# total moment = 0.000 μB/cell
data_BeCuRe2
_chemical_formula_sum 'Be2 Cu2 Re4'
_space_group_name_H-M_alt 'I m m m'
_space_group_IT_number 71
_space_group_name_Hall '-I 2 2'
_cell_length_a 3.037
_cell_length_b 4.113
_cell_length_c 8.104
_cell_angle_alpha 90.00
_cell_angle_beta 90.00
_cell_angle_gamma 90.00
loop_
_atom_site_label
_atom_site_type_symbol
_atom_site_fract_x
_atom_site_fract_y
_atom_site_fract_z
Be1 Be 0.000 0.000 0.000
Cu1 Cu 0.000 0.000 0.500
Re1 Re 0.000 0.500 0.261

***

# BeCuRe2 | the Alexandria database | GGA-PBEsol | relaxed
# energy relative to the elements = 0.35 eV/atom
# crystal system = tetragonal
# total moment = 0.000 μB/cell
data_BeCuRe2
_chemical_formula_sum 'Be1 Cu1 Re2'
_space_group_name_H-M_alt 'P 4/m m m'
_space_group_IT_number 123
_space_group_name_Hall '-P 4 2'
_cell_length_a 3.609
_cell_length_b 3.609
_cell_length_c 3.880
_cell_angle_alpha 90.00
_cell_angle_beta 90.00
_cell_angle_gamma 90.00
loop_
_atom_site_label
_atom_site_type_symbol
_atom_site_fract_x
_atom_site_fract_y
_atom_site_fract_z
Be1 Be 0.000 0.000 0.000
Cu1 Cu 0.500 0.500 0.000
Re1 Re 0.000 0.500 0.500

***

# BeCuRe2 | the Alexandria database | GGA-PBEsol | relaxed
# energy relative to the elements = 0.21 eV/atom
# crystal system = cubic
# total moment = 0.000 μB/cell
data_BeCuRe2
_chemical_formula_sum 'Be4 Cu4 Re8'
_space_group_name_H-M_alt 'F -4 3 m'
_space_group_IT_number 216
_space_group_name_Hall 'F -4 2 3'
_cell_length_a 5.882
_cell_length_b 5.882
_cell_length_c 5.882
_cell_angle_alpha 90.00
_cell_angle_beta 90.00
_cell_angle_gamma 90.00
loop_
_atom_site_label
_atom_site_type_symbol
_atom_site_fract_x
_atom_site_fract_y
_atom_site_fract_z
Be1 Be 0.000 0.000 0.000
Cu1 Cu 0.250 0.250 0.750
Re1 Re 0.000 0.000 0.500
Re2 Re 0.250 0.250 0.250

***

# Be2CuRe | the Alexandria database | GGA-PBEsol | relaxed
# energy relative to the elements = 0.17 eV/atom
# crystal system = monoclinic
# polymorph energy (0 for the lowest one) = 19.9 meV/atom
# total moment = 0.000 μB/cell
data_Be2CuRe
_chemical_formula_sum 'Be4 Cu2 Re2'
_space_group_name_H-M_alt 'C 1 2/m 1'
_space_group_IT_number 12
_space_group_name_Hall '-C 2y'
_cell_length_a 8.050
_cell_length_b 2.539
_cell_length_c 4.518
_cell_angle_alpha 90.00
_cell_angle_beta 105.30
_cell_angle_gamma 90.00
loop_
_atom_site_label
_atom_site_type_symbol
_atom_site_fract_x
_atom_site_fract_y
_atom_site_fract_z
Be1 Be 0.238 0.000 0.266
Cu1 Cu 0.000 0.500 0.000
Re1 Re 0.000 0.000 0.500

***

# Be2CuRe | the Alexandria database | GGA-PBEsol | relaxed
# energy relative to the elements = 0.15 eV/atom
# crystal system = tetragonal
# polymorph energy (0 for the lowest one) = 0.0 meV/atom
# total moment = 0.000 μB/cell
data_Be2CuRe
_chemical_formula_sum 'Be4 Cu2 Re2'
_space_group_name_H-M_alt 'I -4 m 2'
_space_group_IT_number 119
_space_group_name_Hall 'I -4 -2'
_cell_length_a 3.263
_cell_length_b 3.263
_cell_length_c 7.957
_cell_angle_alpha 90.00
_cell_angle_beta 90.00
_cell_angle_gamma 90.00
loop_
_atom_site_label
_atom_site_type_symbol
_atom_site_fract_x
_atom_site_fract_y
_atom_site_fract_z
Be1 Be 0.000 0.000 0.000
Be2 Be 0.000 0.500 0.250
Cu1 Cu 0.000 0.000 0.500
Re1 Re 0.000 0.500 0.750

***

# BeCuRe2 | the Alexandria database | GGA-PBEsol | relaxed
# energy relative to the elements = 0.32 eV/atom
# crystal system = tetragonal
# total moment = 0.000 μB/cell
data_BeCuRe2
_chemical_formula_sum 'Be1 Cu1 Re2'
_space_group_name_H-M_alt 'P 4/m m m'
_space_group_IT_number 123
_space_group_name_Hall '-P 4 2'
_cell_length_a 2.581
_cell_length_b 2.581
_cell_length_c 7.463
_cell_angle_alpha 90.00
_cell_angle_beta 90.00
_cell_angle_gamma 90.00
loop_
_atom_site_label
_atom_site_type_symbol
_atom_site_fract_x
_atom_site_fract_y
_atom_site_fract_z
Be1 Be 0.000 0.000 0.000
Cu1 Cu 0.000 0.000 0.500
Re1 Re 0.500 0.500 0.233

***

# BeCu2Re | the Alexandria database | GGA-PBEsol | relaxed
# energy relative to the elements = 0.25 eV/atom
# crystal system = orthorhombic
# total moment = 0.000 μB/cell
data_BeCu2Re
_chemical_formula_sum 'Be2 Cu4 Re2'
_space_group_name_H-M_alt 'I m m 2'
_space_group_IT_number 44
_space_group_name_Hall 'I 2 -2'
_cell_length_a 2.538
_cell_length_b 4.361
_cell_length_c 8.405
_cell_angle_alpha 90.00
_cell_angle_beta 90.00
_cell_angle_gamma 90.00
loop_
_atom_site_label
_atom_site_type_symbol
_atom_site_fract_x
_atom_site_fract_y
_atom_site_fract_z
Be1 Be 0.000 0.000 0.000
Cu1 Cu 0.000 0.000 0.475
Cu2 Cu 0.000 0.500 0.720
Re1 Re 0.000 0.500 0.253

***

# BeCu2Rh | the Alexandria database | GGA-PBEsol | relaxed
# energy relative to the elements = -0.01 eV/atom
# crystal system = monoclinic
# total moment = 0.001 μB/cell
data_BeCu2Rh
_chemical_formula_sum 'Be2 Cu4 Rh2'
_space_group_name_H-M_alt 'C 1 2/m 1'
_space_group_IT_number 12
_space_group_name_Hall '-C 2y'
_cell_length_a 4.698
_cell_length_b 8.563
_cell_length_c 2.606
_cell_angle_alpha 90.00
_cell_angle_beta 119.22
_cell_angle_gamma 90.00
loop_
_atom_site_label
_atom_site_type_symbol
_atom_site_fract_x
_atom_site_fract_y
_atom_site_fract_z
Be1 Be 0.000 0.000 0.000
Cu1 Cu 0.250 0.250 0.500
Rh1 Rh 0.000 0.500 0.000

***

# BeCuRu | the Alexandria database | GGA-PBEsol | relaxed
# energy relative to the elements = 0.84 eV/atom
# crystal system = cubic
# total moment = 3.795 μB/cell
data_BeCuRu
_chemical_formula_sum 'Be4 Cu4 Ru4'
_space_group_name_H-M_alt 'F -4 3 m'
_space_group_IT_number 216
_space_group_name_Hall 'F -4 2 3'
_cell_length_a 5.477
_cell_length_b 5.477
_cell_length_c 5.477
_cell_angle_alpha 90.00
_cell_angle_beta 90.00
_cell_angle_gamma 90.00
loop_
_atom_site_label
_atom_site_type_symbol
_atom_site_fract_x
_atom_site_fract_y
_atom_site_fract_z
Be1 Be 0.000 0.000 0.000
Cu1 Cu 0.000 0.000 0.500
Ru1 Ru 0.250 0.250 0.250

***

# Be2CuRu2 | the Alexandria database | GGA-PBEsol | relaxed
# energy relative to the elements = -0.17 eV/atom
# crystal system = tetragonal
# total moment = 0.003 μB/cell
data_Be2CuRu2
_chemical_formula_sum 'Be4 Cu2 Ru4'
_space_group_name_H-M_alt 'P 4/m b m'
_space_group_IT_number 127
_space_group_name_Hall '-P 4 2ab'
_cell_length_a 5.794
_cell_length_b 5.794
_cell_length_c 3.120
_cell_angle_alpha 90.00
_cell_angle_beta 90.00
_cell_angle_gamma 90.00
loop_
_atom_site_label
_atom_site_type_symbol
_atom_site_fract_x
_atom_site_fract_y
_atom_site_fract_z
Be1 Be 0.126 0.374 0.000
Cu1 Cu 0.000 0.000 0.000
Ru1 Ru 0.173 0.673 0.500

***

# TiBeCuS2 | the Alexandria database | GGA-PBEsol | relaxed
# ΔE_f (raw) = 483 meV per atom
# crystal system = tetragonal
# total moment = 0.353 μB/cell
data_TiBeCuS2
_chemical_formula_sum 'Ti1 Be1 Cu1 S2'
_space_group_name_H-M_alt 'P 4/m m m'
_space_group_IT_number 123
_space_group_name_Hall '-P 4 2'
_cell_length_a 4.551
_cell_length_b 4.551
_cell_length_c 4.675
_cell_angle_alpha 90.00
_cell_angle_beta 90.00
_cell_angle_gamma 90.00
loop_
_atom_site_label
_atom_site_type_symbol
_atom_site_fract_x
_atom_site_fract_y
_atom_site_fract_z
Ti1 Ti 0.000 0.000 0.000
Be1 Be 0.500 0.500 0.500
Cu1 Cu 0.000 0.000 0.500
S1 S 0.000 0.500 0.000

***

# BeCuSb2 | the Alexandria database | GGA-PBEsol | relaxed
# ΔE_f (raw) = 487 meV per atom
# crystal system = orthorhombic
# total moment = 0.000 μB/cell
data_BeCuSb2
_chemical_formula_sum 'Be2 Cu2 Sb4'
_space_group_name_H-M_alt 'C m m m'
_space_group_IT_number 65
_space_group_name_Hall '-C 2 2'
_cell_length_a 6.605
_cell_length_b 7.114
_cell_length_c 3.092
_cell_angle_alpha 90.00
_cell_angle_beta 90.00
_cell_angle_gamma 90.00
loop_
_atom_site_label
_atom_site_type_symbol
_atom_site_fract_x
_atom_site_fract_y
_atom_site_fract_z
Be1 Be 0.000 0.000 0.000
Cu1 Cu 0.000 0.500 0.000
Sb1 Sb 0.250 0.250 0.500